This record from the Alexandria database describes an optimized crystal structure of CsYPb2F8. The functional is PBE-GGA.

raw total energy: -65.52 eV per cell
D(E_F): 0.0 states/eV/cell
formation energy without anion corrections: -2.985 eV/atom

abc: 4.1960 6.2097 8.4158
angles: 90.97 90.04 90.17
Last column: nearest neighbours and their distance in Å.
Positions (direct):
Cs (0.0000, 0.0000, 0.5000)  8 F 2.80-2.97
Y (0.0000, 0.0000, 0.0000)  8 F 2.27-2.44
Pb (0.4999, 0.5042, 0.7497)  6 F 2.40-2.69
Pb (0.5001, 0.4958, 0.2503)  6 F 2.40-2.69
F (0.0006, 0.7551, 0.1970)  1 Y 2.27
F (0.5004, 0.8014, 0.9921)  2 Y 2.43-2.44, 3 F 2.47-2.68
F (0.9999, 0.2520, 0.2033)  1 Y 2.30
F (0.9994, 0.2449, 0.8030)  1 Y 2.27
F (0.4996, 0.1986, 0.0079)  2 Y 2.43-2.44, 3 F 2.47-2.68
F (0.0001, 0.7480, 0.7967)  1 Y 2.30
F (0.4985, 0.7014, 0.5066)  2 Pb 2.40-2.49, 1 F 2.50
F (0.5015, 0.2986, 0.4934)  2 Pb 2.40-2.49, 1 F 2.50